DFT (PBE-GGA) results for a relaxed structure of Re2RuSe.

Its density of states at the Fermi level is 6.25 states/eV/cell.

The structure belongs to space group Cm (No. 8); the cell edges are 9.390, 2.882 and 4.558 Å and the angles 90.00°, 92.39° and 90.00°. The distinct sites, in fractional coordinates, are Re at (0.000, 0.000, 0.000), Re at (0.222, 0.500, 0.240), Ru at (0.449, 0.000, 0.465) and Se at (0.219, 0.000, 0.697).

---

DFT (PBE-GGA) results for a relaxed structure of TlSb2As2.

Its density of states at the Fermi level is 4.74 states/eV/cell.

The structure belongs to space group P4/mbm (No. 127); the cell edges are 8.147, 8.147 and 3.856 Å and the angles 90.00°, 90.00° and 90.00°. The distinct sites, in fractional coordinates, are Tl at (0.000, 0.000, 0.000), Sb at (0.147, 0.353, 0.500) and As at (0.149, 0.649, 0.000).

---

Energy relative to the elements, uncorrected / eV/atom: 0.4212; 0.2021
Polymorph energy (0 for the lowest one) / kJ/mol of atoms: 16.6; 9.0
Total DFT energy (no corrections) / Ry per atom: -0.661; -0.278